--- 1 ---
A relaxed structure of YB2I, computed with PBE.

Unit cell a=6.3850 b=6.3850 c=7.4870 alpha=90.00 beta=90.00 gamma=90.00
Space group I-42d (No. 122)
Inequivalent atoms, fractional coordinates:
Y (0.0000, 0.0000, 0.0000)
B (0.2054, 0.2500, 0.6250)
I (0.0000, 0.0000, 0.5000)

***

--- 2 ---
A relaxed structure of YB2I, computed with PBE.

Unit cell a=6.6140 b=6.6140 c=6.6140 alpha=90.00 beta=90.00 gamma=90.00
Space group Fm-3m (No. 225)
Inequivalent atoms, fractional coordinates:
Y (0.0000, 0.0000, 0.0000)
B (0.2500, 0.2500, 0.2500)
I (0.0000, 0.0000, 0.5000)

***

Energies, relative to the best one, in meV per atom: 1 0; 2 271.

***

--- 1 ---
A relaxed structure of YBI3, computed with PBE.

Unit cell a=6.0151 b=6.0151 c=6.0151 alpha=90.00 beta=90.00 gamma=90.00
Space group Pm-3m (No. 221)
Inequivalent atoms, fractional coordinates:
Y (0.0000, 0.0000, 0.0000)
B (0.5000, 0.5000, 0.5000)
I (0.0000, 0.0000, 0.5000)

***

--- 2 ---
A relaxed structure of YBI3, computed with PBE.

Unit cell a=5.1554 b=5.1554 c=5.1554 alpha=90.00 beta=90.00 gamma=90.00
Space group Pm-3m (No. 221)
Inequivalent atoms, fractional coordinates:
Y (0.0000, 0.0000, 0.0000)
B (0.5000, 0.5000, 0.5000)
I (0.0000, 0.5000, 0.5000)

***

Energies, relative to the best one, in meV per atom: 1 0; 2 111.

***

--- 1 ---
A relaxed structure of YBI2, computed with PBE.

Unit cell a=7.5060 b=7.5060 c=7.5060 alpha=90.00 beta=90.00 gamma=90.00
Space group Fm-3m (No. 225)
Inequivalent atoms, fractional coordinates:
Y (0.0000, 0.0000, 0.0000)
B (0.0000, 0.0000, 0.5000)
I (0.2500, 0.2500, 0.2500)

***

--- 2 ---
A relaxed structure of YBI2, computed with PBE.

Unit cell a=5.0844 b=5.0844 c=19.3847 alpha=90.00 beta=90.00 gamma=90.00
Space group I-42d (No. 122)
Inequivalent atoms, fractional coordinates:
Y (0.0000, 0.0000, 0.0000)
B (0.0000, 0.0000, 0.5000)
I (0.2401, 0.2500, 0.6250)

***

Energies, relative to the best one, in meV per atom: 1 0; 2 142.

***

--- 1 ---
A relaxed structure of ZnBI3, computed with PBE.

Unit cell a=5.5934 b=5.5934 c=5.5934 alpha=90.00 beta=90.00 gamma=90.00
Space group Pm-3m (No. 221)
Inequivalent atoms, fractional coordinates:
Zn (0.0000, 0.0000, 0.0000)
B (0.5000, 0.5000, 0.5000)
I (0.0000, 0.0000, 0.5000)

***

--- 2 ---
A relaxed structure of ZnBI3, computed with PBE.

Unit cell a=5.1592 b=5.1592 c=5.1592 alpha=90.00 beta=90.00 gamma=90.00
Space group Pm-3m (No. 221)
Inequivalent atoms, fractional coordinates:
Zn (0.0000, 0.0000, 0.0000)
B (0.5000, 0.5000, 0.5000)
I (0.0000, 0.5000, 0.5000)

***

Energies, relative to the best one, in meV per atom: 1 187; 2 0.

***

--- 1 ---
A relaxed structure of Zn3BI, computed with PBE.

Unit cell a=5.5963 b=5.5963 c=5.5963 alpha=90.00 beta=90.00 gamma=90.00
Space group Pm-3m (No. 221)
Inequivalent atoms, fractional coordinates:
Zn (0.0000, 0.0000, 0.5000)
B (0.5000, 0.5000, 0.5000)
I (0.0000, 0.0000, 0.0000)

***

--- 2 ---
A relaxed structure of Zn3BI, computed with PBE.

Unit cell a=4.4946 b=4.4946 c=4.4946 alpha=90.00 beta=90.00 gamma=90.00
Space group Pm-3m (No. 221)
Inequivalent atoms, fractional coordinates:
Zn (0.0000, 0.0000, 0.5000)
B (0.0000, 0.0000, 0.0000)
I (0.5000, 0.5000, 0.5000)

***

Energies, relative to the best one, in meV per atom: 1 1495; 2 0.

***

--- 1 ---
A relaxed structure of ZrB2I, computed with PBE.

Unit cell a=5.8935 b=5.8935 c=8.6482 alpha=90.00 beta=90.00 gamma=90.00
Space group I-42d (No. 122)
Inequivalent atoms, fractional coordinates:
Zr (0.0000, 0.0000, 0.0000)
B (0.2385, 0.2500, 0.6250)
I (0.0000, 0.0000, 0.5000)

***

--- 2 ---
A relaxed structure of ZrB2I, computed with PBE.

Unit cell a=6.3329 b=6.3329 c=6.3329 alpha=90.00 beta=90.00 gamma=90.00
Space group Fm-3m (No. 225)
Inequivalent atoms, fractional coordinates:
Zr (0.0000, 0.0000, 0.0000)
B (0.2500, 0.2500, 0.2500)
I (0.0000, 0.0000, 0.5000)

***

Energies, relative to the best one, in meV per atom: 1 0; 2 347.

***

--- 1 ---
A relaxed structure of ZrBI3, computed with PBE.

Unit cell a=5.7507 b=5.7507 c=5.7507 alpha=90.00 beta=90.00 gamma=90.00
Space group Pm-3m (No. 221)
Inequivalent atoms, fractional coordinates:
Zr (0.0000, 0.0000, 0.0000)
B (0.5000, 0.5000, 0.5000)
I (0.0000, 0.0000, 0.5000)

***

--- 2 ---
A relaxed structure of ZrBI3, computed with PBE.

Unit cell a=5.0854 b=5.0854 c=5.0854 alpha=90.00 beta=90.00 gamma=90.00
Space group Pm-3m (No. 221)
Inequivalent atoms, fractional coordinates:
Zr (0.0000, 0.0000, 0.0000)
B (0.5000, 0.5000, 0.5000)
I (0.0000, 0.5000, 0.5000)

***

Energies, relative to the best one, in meV per atom: 1 0; 2 160.